# 1
This record from Alexandria via LeMat-Bulk describes La2Ga2Pb after structural relaxation. The functional is PBE.

Lattice parameters (Å, degrees): 4.6230 6.3823 10.6359 82.76 77.45 68.77
With the nearest neighbours (Å) after each atom.
Atoms (fractional coordinates):
La  0.7084  0.2451  0.3382  4 Ga 3.11-3.43, 3 Pb 3.32-3.43
La  0.9021  0.2888  0.9070  4 Ga 3.09-3.36
La  0.2916  0.7549  0.6618  4 Ga 3.11-3.43, 3 Pb 3.32-3.43
La  0.0979  0.7112  0.0930  4 Ga 3.09-3.36
Ga  0.9831  0.4193  0.6145  1 Ga 2.52
Ga  0.6243  0.8545  0.8968  1 Ga 2.82, 1 Pb 2.90
Ga  0.0169  0.5807  0.3855  1 Ga 2.52
Ga  0.3757  0.1455  0.1032  1 Ga 2.82, 1 Pb 2.90
Pb  0.5893  0.1539  0.6675  3 Ga 2.84-2.90
Pb  0.4107  0.8461  0.3325  3 Ga 2.84-2.90

Properties
For the energy, the calculation gives -44.780 eV per cell. The value obtained for the formation energy is -2.773 eV per formula unit.

# 2
This record from Alexandria via LeMat-Bulk describes LaGa3Pb after structural relaxation. The functional is PBE.

Lattice parameters (Å, degrees): 5.6492 5.6492 5.6492 90.00 90.00 90.00
With the nearest neighbours (Å) after each atom.
Atoms (fractional coordinates):
Pb  0.5000  0.5000  0.5000  12 Ga 3.99
Ga  0.0000  0.5000  0.0000  2 La 2.82
Ga  0.0000  0.0000  0.5000  2 La 2.82
Ga  0.5000  0.0000  0.0000  2 La 2.82
La  0.0000  0.0000  0.0000  6 Ga 2.82

Properties
For the energy, the calculation gives -14.690 eV per cell. The value obtained for the formation energy is 3.026 eV per formula unit.

- The lowest energy belongs to which entry?
  La2Ga2Pb